Run i
CrMoW2: optimized geometry, PBEsol.

Computed properties:
* Fermi-level density of states: 2.5 states/eV per cell

Unit cell a=2.682 b=4.342 c=5.093 alpha=90.00 beta=100.06 gamma=90.00
Sites, in units of the cell vectors:
Cr1 0.499 0.000 0.499
Mo1 0.252 0.500 0.746
W1 0.746 0.500 0.256
W2 0.003 0.000 0.999

---

Run ii
CrMoW2: optimized geometry, PBEsol.

Computed properties:
* Fermi-level density of states: 2.5 states/eV per cell

Unit cell a=3.076 b=3.076 c=6.147 alpha=90.00 beta=90.00 gamma=90.00
Sites, in units of the cell vectors:
W1 0.000 0.000 0.998
Mo1 0.500 0.500 0.741
W2 0.500 0.500 0.261
Cr1 0.000 0.000 0.500

---

Most stable to least stable: run ii, run i

---

Run i
CrMoW: optimized geometry, PBEsol.

Computed properties:
* Fermi-level density of states: 1.7 states/eV per cell

Unit cell a=2.661 b=2.661 c=6.562 alpha=97.71 beta=97.71 gamma=109.78
Sites, in units of the cell vectors:
Mo1 0.339 0.339 0.679
W1 0.661 0.661 0.322
Cr1 0.000 0.000 0.999

---

Run ii
CrMoW: optimized geometry, PBEsol.

Computed properties:
* Fermi-level density of states: 1.8 states/eV per cell

Unit cell a=3.048 b=3.048 c=5.040 alpha=107.60 beta=107.60 gamma=90.00
Sites, in units of the cell vectors:
W1 0.338 0.338 0.676
Mo1 0.662 0.662 0.324
Cr1 0.000 0.000 0.000

---

Most stable to least stable: run ii, run i

---

Run i
Cr3N2: optimized geometry, PBEsol.

Computed properties:
* Fermi-level density of states: 3.1 states/eV per cell

Unit cell a=2.771 b=2.771 c=6.691 alpha=90.00 beta=90.00 gamma=120.00
Each line ends with the local moment (μB).
Sites, in units of the cell vectors:
Cr1 0.667 0.333 0.348  0.20
Cr2 0.000 0.000 0.000  2.10
Cr3 0.333 0.667 0.652  0.20
N1 0.667 0.333 0.815  -0.03
N2 0.333 0.667 0.185  -0.03

---

Run ii
Cr3N2: optimized geometry, PBEsol.

Computed properties:
* Fermi-level density of states: 9.4 states/eV per cell

Unit cell a=4.658 b=4.658 c=5.413 alpha=64.52 beta=64.52 gamma=60.00
Sites, in units of the cell vectors:
Cr1 0.574 0.926 0.250
Cr2 0.074 0.750 0.750
Cr3 0.750 0.426 0.750
N1 0.159 0.159 0.522
N2 0.341 0.341 0.978
Cr4 0.250 0.574 0.250
Cr5 0.426 0.074 0.750
Cr6 0.926 0.250 0.250
N3 0.841 0.841 0.478
N4 0.659 0.659 0.022

---

Most stable to least stable: run ii, run i